No. 1
# La8SmEr4 GGA-PBE optimized geometry
# Space group: R-3m, No. 166
# Density of states at the Fermi level: 22.22 states/eV/cell
data_La8SmEr4
_chemical_formula_sum 'La8 Sm1 Er4'
_cell_length_a 7.960
_cell_length_b 7.960
_cell_length_c 7.960
_cell_angle_alpha 90.04
_cell_angle_beta 90.04
_cell_angle_gamma 90.04
_symmetry_space_group_name_H-M 'P 1'
_symmetry_Int_Tables_number 1
loop_
_symmetry_equiv_pos_as_xyz
'x,y,z'
loop_
_atom_site_label
_atom_site_fract_x
_atom_site_fract_y
_atom_site_fract_z
La1 0.238 0.238 0.761
La2 0.238 0.761 0.238
La3 0.239 0.239 0.239
La4 0.239 0.762 0.762
La5 0.761 0.238 0.238
La6 0.761 0.761 0.761
La7 0.762 0.239 0.762
La8 0.762 0.762 0.239
Sm1 0.500 0.500 0.500
Er1 0.000 0.000 0.000
Er2 0.000 0.500 0.500
Er3 0.500 0.000 0.500
Er4 0.500 0.500 0.000

***

No. 2
# MgSb2W GGA-PBE optimized geometry
# Space group: P2/m, No. 10
# Density of states at the Fermi level: 1.68 states/eV/cell
# Offset from the most stable computed form: 0 kJ/mol of formula units
data_MgSb2W
_chemical_formula_sum 'Mg1 Sb2 W1'
_cell_length_a 3.420
_cell_length_b 3.430
_cell_length_c 7.345
_cell_angle_alpha 90.00
_cell_angle_beta 95.34
_cell_angle_gamma 90.00
_symmetry_space_group_name_H-M 'P 1'
_symmetry_Int_Tables_number 1
loop_
_symmetry_equiv_pos_as_xyz
'x,y,z'
loop_
_atom_site_label
_atom_site_fract_x
_atom_site_fract_y
_atom_site_fract_z
Mg1 0.000 0.000 0.000
Sb1 0.465 0.500 0.283
Sb2 0.535 0.500 0.717
W1 0.000 0.000 0.500

***

No. 3
# SrLi2ZnF7 GGA-PBE optimized geometry
# Space group: I-4m2, No. 119
# Density of states at the Fermi level: 10.80 states/eV/cell
data_SrLi2ZnF7
_chemical_formula_sum 'Sr1 Li2 Zn1 F7'
_cell_length_a 8.626
_cell_length_b 8.626
_cell_length_c 8.626
_cell_angle_alpha 153.09
_cell_angle_beta 153.09
_cell_angle_gamma 38.42
_symmetry_space_group_name_H-M 'P 1'
_symmetry_Int_Tables_number 1
loop_
_symmetry_equiv_pos_as_xyz
'x,y,z'
loop_
_atom_site_label
_atom_site_fract_x
_atom_site_fract_y
_atom_site_fract_z
Sr1 0.000 0.000 0.000
Li1 0.380 0.380 0.000
Li2 0.620 0.620 0.000
Zn1 0.750 0.250 0.500
F1 0.093 0.593 0.500
F2 0.260 0.260 0.000
F3 0.407 0.907 0.500
F4 0.500 0.500 0.000
F5 0.624 0.124 0.500
F6 0.740 0.740 0.000
F7 0.876 0.376 0.500

***

No. 4
# Pa3Ge3Rh2 GGA-PBE optimized geometry
# Space group: Cmcm, No. 63
# Density of states at the Fermi level: 19.45 states/eV/cell
# Offset from the most stable computed form: 0 kJ/mol of formula units
data_Pa3Ge3Rh2
_chemical_formula_sum 'Pa6 Ge6 Rh4'
_cell_length_a 5.613
_cell_length_b 5.613
_cell_length_c 14.445
_cell_angle_alpha 90.00
_cell_angle_beta 90.00
_cell_angle_gamma 135.19
_symmetry_space_group_name_H-M 'P 1'
_symmetry_Int_Tables_number 1
loop_
_symmetry_equiv_pos_as_xyz
'x,y,z'
loop_
_atom_site_label
_atom_site_fract_x
_atom_site_fract_y
_atom_site_fract_z
Pa1 0.085 0.915 0.611
Pa2 0.085 0.915 0.889
Pa3 0.359 0.641 0.750
Pa4 0.641 0.359 0.250
Pa5 0.915 0.085 0.111
Pa6 0.915 0.085 0.389
Ge1 0.358 0.642 0.250
Ge2 0.385 0.615 0.538
Ge3 0.385 0.615 0.962
Ge4 0.615 0.385 0.038
Ge5 0.615 0.385 0.462
Ge6 0.642 0.358 0.750
Rh1 0.204 0.796 0.109
Rh2 0.204 0.796 0.391
Rh3 0.796 0.204 0.609
Rh4 0.796 0.204 0.891

***

No. 5
# SrReAsBr2 GGA-PBE optimized geometry
# Space group: P4/mmm, No. 123
# Density of states at the Fermi level: 2.11 states/eV/cell
# Offset from the most stable computed form: 469 kJ/mol of formula units
data_SrReAsBr2
_chemical_formula_sum 'Sr1 Re1 As1 Br2'
_cell_length_a 5.723
_cell_length_b 5.723
_cell_length_c 6.293
_cell_angle_alpha 90.00
_cell_angle_beta 90.00
_cell_angle_gamma 90.00
_symmetry_space_group_name_H-M 'P 1'
_symmetry_Int_Tables_number 1
loop_
_symmetry_equiv_pos_as_xyz
'x,y,z'
loop_
_atom_site_label
_atom_site_fract_x
_atom_site_fract_y
_atom_site_fract_z
Sr1 0.000 0.000 0.000
Re1 0.500 0.500 0.500
As1 0.000 0.000 0.500
Br1 0.000 0.500 0.000
Br2 0.500 0.000 0.000

***

No. 6
# MgZnTe2 GGA-PBE optimized geometry
# Space group: Cm, No. 8
data_MgZnTe2
_chemical_formula_sum 'Mg1 Zn1 Te2'
_cell_length_a 7.927
_cell_length_b 7.927
_cell_length_c 4.186
_cell_angle_alpha 91.77
_cell_angle_beta 91.77
_cell_angle_gamma 30.49
_symmetry_space_group_name_H-M 'P 1'
_symmetry_Int_Tables_number 1
loop_
_symmetry_equiv_pos_as_xyz
'x,y,z'
loop_
_atom_site_label
_atom_site_fract_x
_atom_site_fract_y
_atom_site_fract_z
Mg1 0.000 0.000 0.000
Zn1 0.378 0.378 0.371
Te1 0.546 0.546 0.543
Te2 0.816 0.816 0.067

***

No. 7
# BeVSn2 GGA-PBE optimized geometry
# Space group: I-42d, No. 122
# Density of states at the Fermi level: 10.50 states/eV/cell
data_BeVSn2
_chemical_formula_sum 'Be2 V2 Sn4'
_cell_length_a 5.979
_cell_length_b 5.979
_cell_length_c 5.979
_cell_angle_alpha 102.85
_cell_angle_beta 102.85
_cell_angle_gamma 123.73
_symmetry_space_group_name_H-M 'P 1'
_symmetry_Int_Tables_number 1
loop_
_symmetry_equiv_pos_as_xyz
'x,y,z'
loop_
_atom_site_label
_atom_site_fract_x
_atom_site_fract_y
_atom_site_fract_z
Be1 0.000 0.000 0.000
Be2 0.750 0.250 0.500
V1 0.250 0.750 0.500
V2 0.500 0.500 0.000
Sn1 0.073 0.625 0.948
Sn2 0.375 0.323 0.448
Sn3 0.677 0.125 0.052
Sn4 0.875 0.927 0.552

***

No. 8
# Cs2VCl6 GGA-PBE optimized geometry
# Space group: Fm-3m, No. 225
# Density of states at the Fermi level: 8.04 states/eV/cell
data_Cs2VCl6
_chemical_formula_sum 'Cs2 V1 Cl6'
_cell_length_a 7.439
_cell_length_b 7.439
_cell_length_c 7.439
_cell_angle_alpha 60.00
_cell_angle_beta 60.00
_cell_angle_gamma 60.00
_symmetry_space_group_name_H-M 'P 1'
_symmetry_Int_Tables_number 1
loop_
_symmetry_equiv_pos_as_xyz
'x,y,z'
loop_
_atom_site_label
_atom_site_fract_x
_atom_site_fract_y
_atom_site_fract_z
Cs1 0.250 0.250 0.250
Cs2 0.750 0.750 0.750
V1 0.000 0.000 0.000
Cl1 0.222 0.222 0.778
Cl2 0.222 0.778 0.222
Cl3 0.222 0.778 0.778
Cl4 0.778 0.222 0.222
Cl5 0.778 0.222 0.778
Cl6 0.778 0.778 0.222

***

No. 9
# Y2CdBi GGA-PBE optimized geometry
# Space group: R-3m, No. 166
# Density of states at the Fermi level: 4.18 states/eV/cell
# Offset from the most stable computed form: 35 kJ/mol of formula units
data_Y2CdBi
_chemical_formula_sum 'Y2 Cd1 Bi1'
_cell_length_a 8.059
_cell_length_b 8.059
_cell_length_c 8.059
_cell_angle_alpha 31.10
_cell_angle_beta 31.10
_cell_angle_gamma 31.10
_symmetry_space_group_name_H-M 'P 1'
_symmetry_Int_Tables_number 1
loop_
_symmetry_equiv_pos_as_xyz
'x,y,z'
loop_
_atom_site_label
_atom_site_fract_x
_atom_site_fract_y
_atom_site_fract_z
Y1 0.247 0.247 0.247
Y2 0.753 0.753 0.753
Cd1 0.000 0.000 0.000
Bi1 0.500 0.500 0.500

***

No. 10
# Sc2Cu2Sn GGA-PBE optimized geometry
# Space group: I4/mmm, No. 139
# Density of states at the Fermi level: 4.15 states/eV/cell
data_Sc2Cu2Sn
_chemical_formula_sum 'Sc2 Cu2 Sn1'
_cell_length_a 8.910
_cell_length_b 8.910
_cell_length_c 8.910
_cell_angle_alpha 158.18
_cell_angle_beta 158.18
_cell_angle_gamma 31.06
_symmetry_space_group_name_H-M 'P 1'
_symmetry_Int_Tables_number 1
loop_
_symmetry_equiv_pos_as_xyz
'x,y,z'
loop_
_atom_site_label
_atom_site_fract_x
_atom_site_fract_y
_atom_site_fract_z
Sc1 0.118 0.118 0.000
Sc2 0.882 0.882 0.000
Cu1 0.250 0.750 0.500
Cu2 0.750 0.250 0.500
Sn1 0.500 0.500 0.000

***

No. 11
# CrH3Ir GGA-PBE optimized geometry
# Space group: Pm-3m, No. 221
# Density of states at the Fermi level: 3.84 states/eV/cell
data_CrH3Ir
_chemical_formula_sum 'Cr1 H3 Ir1'
_cell_length_a 3.397
_cell_length_b 3.397
_cell_length_c 3.397
_cell_angle_alpha 90.00
_cell_angle_beta 90.00
_cell_angle_gamma 90.00
_symmetry_space_group_name_H-M 'P 1'
_symmetry_Int_Tables_number 1
loop_
_symmetry_equiv_pos_as_xyz
'x,y,z'
loop_
_atom_site_label
_atom_site_fract_x
_atom_site_fract_y
_atom_site_fract_z
Cr1 0.000 0.000 0.000
H1 0.000 0.500 0.500
H2 0.500 0.000 0.500
H3 0.500 0.500 0.000
Ir1 0.500 0.500 0.500

***

No. 12
# CrTeHRhAu2 GGA-PBE optimized geometry
# Space group: Cm, No. 8
# Density of states at the Fermi level: 3.77 states/eV/cell
# Offset from the most stable computed form: 27 kJ/mol of formula units
data_CrTeHRhAu2
_chemical_formula_sum 'Cr1 Te1 H1 Rh1 Au2'
_cell_length_a 6.302
_cell_length_b 6.302
_cell_length_c 5.551
_cell_angle_alpha 106.71
_cell_angle_beta 106.71
_cell_angle_gamma 28.44
_symmetry_space_group_name_H-M 'P 1'
_symmetry_Int_Tables_number 1
loop_
_symmetry_equiv_pos_as_xyz
'x,y,z'
loop_
_atom_site_label
_atom_site_fract_x
_atom_site_fract_y
_atom_site_fract_z
Cr1 0.000 0.000 0.000
Te1 0.649 0.649 0.786
H1 0.470 0.470 0.201
Rh1 0.326 0.326 0.051
Au1 0.381 0.381 0.585
Au2 0.685 0.685 0.318

***

No. 13
# CaBeW GGA-PBE optimized geometry
# Space group: I4mm, No. 107
# Density of states at the Fermi level: 2.85 states/eV/cell
# Offset from the most stable computed form: 10 kJ/mol of formula units
data_CaBeW
_chemical_formula_sum 'Ca1 Be1 W1'
_cell_length_a 6.683
_cell_length_b 6.683
_cell_length_c 6.683
_cell_angle_alpha 155.46
_cell_angle_beta 155.46
_cell_angle_gamma 34.98
_symmetry_space_group_name_H-M 'P 1'
_symmetry_Int_Tables_number 1
loop_
_symmetry_equiv_pos_as_xyz
'x,y,z'
loop_
_atom_site_label
_atom_site_fract_x
_atom_site_fract_y
_atom_site_fract_z
Ca1 0.000 0.000 0.000
Be1 0.324 0.324 0.000
W1 0.702 0.702 0.000

***

No. 14
# Hf2BeGa GGA-PBE optimized geometry
# Space group: Amm2, No. 38
# Density of states at the Fermi level: 3.15 states/eV/cell
# Offset from the most stable computed form: 5 kJ/mol of formula units
data_Hf2BeGa
_chemical_formula_sum 'Hf2 Be1 Ga1'
_cell_length_a 3.612
_cell_length_b 5.320
_cell_length_c 5.320
_cell_angle_alpha 42.49
_cell_angle_beta 90.00
_cell_angle_gamma 90.00
_symmetry_space_group_name_H-M 'P 1'
_symmetry_Int_Tables_number 1
loop_
_symmetry_equiv_pos_as_xyz
'x,y,z'
loop_
_atom_site_label
_atom_site_fract_x
_atom_site_fract_y
_atom_site_fract_z
Hf1 0.000 0.000 0.000
Hf2 0.500 0.293 0.293
Be1 0.500 0.568 0.568
Ga1 0.000 0.714 0.714

***

No. 15
# CaTe2Mo GGA-PBE optimized geometry
# Space group: Cm, No. 8
# Density of states at the Fermi level: 1.85 states/eV/cell
# Offset from the most stable computed form: 35 kJ/mol of formula units
data_CaTe2Mo
_chemical_formula_sum 'Ca1 Te2 Mo1'
_cell_length_a 4.969
_cell_length_b 4.969
_cell_length_c 6.931
_cell_angle_alpha 108.87
_cell_angle_beta 108.87
_cell_angle_gamma 42.15
_symmetry_space_group_name_H-M 'P 1'
_symmetry_Int_Tables_number 1
loop_
_symmetry_equiv_pos_as_xyz
'x,y,z'
loop_
_atom_site_label
_atom_site_fract_x
_atom_site_fract_y
_atom_site_fract_z
Ca1 0.000 0.000 0.000
Te1 0.612 0.612 0.649
Te2 0.786 0.786 0.271
Mo1 0.306 0.306 0.588

***

No. 16
# Y3As GGA-PBE optimized geometry
# Space group: Fm-3m, No. 225
# Density of states at the Fermi level: 4.45 states/eV/cell
# Offset from the most stable computed form: 185 kJ/mol of formula units
data_Y3As
_chemical_formula_sum 'Y3 As1'
_cell_length_a 5.269
_cell_length_b 5.269
_cell_length_c 5.269
_cell_angle_alpha 60.00
_cell_angle_beta 60.00
_cell_angle_gamma 60.00
_symmetry_space_group_name_H-M 'P 1'
_symmetry_Int_Tables_number 1
loop_
_symmetry_equiv_pos_as_xyz
'x,y,z'
loop_
_atom_site_label
_atom_site_fract_x
_atom_site_fract_y
_atom_site_fract_z
Y1 0.000 0.000 0.000
Y2 0.250 0.250 0.250
Y3 0.750 0.750 0.750
As1 0.500 0.500 0.500

***

No. 17
# Na2Bi2Pb GGA-PBE optimized geometry
# Space group: C2/m, No. 12
# Density of states at the Fermi level: 1.96 states/eV/cell
# Offset from the most stable computed form: 0 kJ/mol of formula units
data_Na2Bi2Pb
_chemical_formula_sum 'Na2 Bi2 Pb1'
_cell_length_a 5.573
_cell_length_b 5.573
_cell_length_c 7.017
_cell_angle_alpha 118.00
_cell_angle_beta 118.00
_cell_angle_gamma 57.30
_symmetry_space_group_name_H-M 'P 1'
_symmetry_Int_Tables_number 1
loop_
_symmetry_equiv_pos_as_xyz
'x,y,z'
loop_
_atom_site_label
_atom_site_fract_x
_atom_site_fract_y
_atom_site_fract_z
Na1 0.206 0.206 0.122
Na2 0.794 0.794 0.878
Bi1 0.414 0.414 0.734
Bi2 0.586 0.586 0.266
Pb1 0.000 0.000 0.500

***

No. 18
# Ho2ErFe GGA-PBE optimized geometry
# Space group: Cmcm, No. 63
# Density of states at the Fermi level: 7.63 states/eV/cell
# Offset from the most stable computed form: 5 kJ/mol of formula units
data_Ho2ErFe
_chemical_formula_sum 'Ho4 Er2 Fe2'
_cell_length_a 6.170
_cell_length_b 6.170
_cell_length_c 9.007
_cell_angle_alpha 90.00
_cell_angle_beta 90.00
_cell_angle_gamma 144.56
_symmetry_space_group_name_H-M 'P 1'
_symmetry_Int_Tables_number 1
loop_
_symmetry_equiv_pos_as_xyz
'x,y,z'
loop_
_atom_site_label
_atom_site_fract_x
_atom_site_fract_y
_atom_site_fract_z
Ho1 0.143 0.857 0.569
Ho2 0.143 0.857 0.931
Ho3 0.857 0.143 0.069
Ho4 0.857 0.143 0.431
Er1 0.419 0.581 0.750
Er2 0.581 0.419 0.250
Fe1 0.242 0.758 0.250
Fe2 0.758 0.242 0.750

***

No. 19
# LiSm2ScTe4 GGA-PBE optimized geometry
# Space group: P2/m, No. 10
# Density of states at the Fermi level: 3.64 states/eV/cell
data_LiSm2ScTe4
_chemical_formula_sum 'Li1 Sm2 Sc1 Te4'
_cell_length_a 7.469
_cell_length_b 4.306
_cell_length_c 7.499
_cell_angle_alpha 90.00
_cell_angle_beta 109.20
_cell_angle_gamma 90.00
_symmetry_space_group_name_H-M 'P 1'
_symmetry_Int_Tables_number 1
loop_
_symmetry_equiv_pos_as_xyz
'x,y,z'
loop_
_atom_site_label
_atom_site_fract_x
_atom_site_fract_y
_atom_site_fract_z
Li1 0.000 0.000 0.000
Sm1 0.500 0.000 0.500
Sm2 0.500 0.500 0.000
Sc1 0.000 0.500 0.500
Te1 0.228 0.000 0.744
Te2 0.229 0.500 0.243
Te3 0.771 0.500 0.757
Te4 0.772 0.000 0.256

***

No. 20
# RbBSe2 GGA-PBE optimized geometry
# Space group: Cmcm, No. 63
data_RbBSe2
_chemical_formula_sum 'Rb2 B2 Se4'
_cell_length_a 6.800
_cell_length_b 6.800
_cell_length_c 6.226
_cell_angle_alpha 90.00
_cell_angle_beta 90.00
_cell_angle_gamma 104.02
_symmetry_space_group_name_H-M 'P 1'
_symmetry_Int_Tables_number 1
loop_
_symmetry_equiv_pos_as_xyz
'x,y,z'
loop_
_atom_site_label
_atom_site_fract_x
_atom_site_fract_y
_atom_site_fract_z
Rb1 0.198 0.802 0.750
Rb2 0.802 0.198 0.250
B1 0.500 0.500 0.000
B2 0.500 0.500 0.500
Se1 0.320 0.324 0.750
Se2 0.324 0.320 0.250
Se3 0.676 0.680 0.750
Se4 0.680 0.676 0.250

***

no.,calculated total energy (eV/atom)
1,-4.383
2,-5.469
3,-4.524
4,-7.855
5,-3.652
6,-2.744
7,-4.635
8,-4.021
9,-4.858
10,-5.166
11,-5.271
12,-4.876
13,-5.567
14,-6.980
15,-5.119
16,-6.155
17,-3.026
18,-5.561
19,-5.071
20,-3.758